w) Here is an optimized crystal structure of LiMg3Cd4 from Alexandria via LeMat-Bulk. Energies are from PBE.

Unit cell a=4.906 b=4.905 c=7.738 alpha=71.57 beta=108.48 gamma=90.00
Atoms (fractional coordinates):
1 Li 0.500 0.000 0.000
2 Mg 0.000 0.500 0.000
3 Mg 0.251 0.249 0.501
4 Mg 0.749 0.751 0.499
5 Cd 0.120 0.879 0.241
6 Cd 0.880 0.121 0.759
7 Cd 0.620 0.380 0.241
8 Cd 0.380 0.620 0.759

- crystal system = monoclinic
- size of the total moment (μB per cell) = 0.0

---

x) Here is an optimized crystal structure of LiMg3Cd4 from Alexandria via LeMat-Bulk. Energies are from PBE.

Unit cell a=5.222 b=6.422 c=9.970 alpha=90.00 beta=90.00 gamma=90.00
Atoms (fractional coordinates):
1 Mg 0.000 0.000 0.000
2 Mg 0.000 0.000 0.500
3 Mg 0.621 0.000 0.750
4 Mg 0.379 0.000 0.250
5 Mg 0.631 0.500 0.750
6 Mg 0.369 0.500 0.250
7 Cd 0.500 0.745 0.000
8 Cd 0.500 0.745 0.500
9 Cd 0.500 0.255 0.000
10 Cd 0.500 0.255 0.500
11 Cd 0.123 0.745 0.750
12 Cd 0.877 0.745 0.250
13 Cd 0.877 0.255 0.250
14 Cd 0.123 0.255 0.750
15 Li 0.000 0.500 0.000
16 Li 0.000 0.500 0.500

- crystal system = orthorhombic
- size of the total moment (μB per cell) = 0.0

---

Quick one: least stable of them? w)

---

w) Here is an optimized crystal structure of Li2Mg2Cd7 from Alexandria via LeMat-Bulk. Energies are from PBE.

Unit cell a=4.843 b=8.111 c=7.637 alpha=122.08 beta=108.48 gamma=90.00
Atoms (fractional coordinates):
1 Li 0.000 0.661 0.000
2 Li 0.500 0.220 0.000
3 Mg 0.259 0.931 0.518
4 Mg 0.741 0.413 0.482
5 Cd 0.124 0.114 0.249
6 Cd 0.133 0.478 0.266
7 Cd 0.500 0.867 0.000
8 Cd 0.373 0.420 0.746
9 Cd 0.627 0.674 0.254
10 Cd 0.876 0.865 0.751
11 Cd 0.867 0.212 0.734

- crystal system = orthorhombic
- size of the total moment (μB per cell) = 0.0

---

x) Here is an optimized crystal structure of Li2Mg2Cd7 from Alexandria via LeMat-Bulk. Energies are from PBE.

Unit cell a=8.272 b=5.609 c=5.609 alpha=115.01 beta=90.61 gamma=90.61
Atoms (fractional coordinates):
1 Li 0.730 0.315 0.315
2 Li 0.270 0.685 0.685
3 Mg 0.500 0.272 0.728
4 Mg 0.500 0.728 0.272
5 Cd 0.155 0.144 0.571
6 Cd 0.845 0.429 0.856
7 Cd 0.845 0.856 0.429
8 Cd 0.155 0.571 0.144
9 Cd 0.000 0.000 0.000
10 Cd 0.623 0.816 0.816
11 Cd 0.377 0.184 0.184

- crystal system = monoclinic
- size of the total moment (μB per cell) = 0.0

---

Quick one: least stable of them? x)

---

w) Here is an optimized crystal structure of Li2Mg7Cd2 from Alexandria via LeMat-Bulk. Energies are from PBE.

Unit cell a=5.678 b=6.831 c=6.831 alpha=80.11 beta=101.97 gamma=101.97
Atoms (fractional coordinates):
1 Li 0.291 0.222 0.222
2 Li 0.709 0.778 0.778
3 Mg 0.760 0.074 0.420
4 Mg 0.240 0.580 0.926
5 Mg 0.240 0.926 0.580
6 Mg 0.760 0.420 0.074
7 Mg 0.500 0.000 0.000
8 Mg 0.242 0.482 0.482
9 Mg 0.758 0.518 0.518
10 Cd 0.000 0.174 0.826
11 Cd 0.000 0.826 0.174

- crystal system = monoclinic
- size of the total moment (μB per cell) = 0.0

---

x) Here is an optimized crystal structure of Li2Mg7Cd2 from Alexandria via LeMat-Bulk. Energies are from PBE.

Unit cell a=5.668 b=5.668 c=7.565 alpha=98.05 beta=98.05 gamma=96.39
Atoms (fractional coordinates):
1 Li 0.674 0.326 0.500
2 Li 0.326 0.674 0.500
3 Mg 0.919 0.548 0.206
4 Mg 0.452 0.081 0.794
5 Mg 0.081 0.452 0.794
6 Mg 0.548 0.919 0.206
7 Mg 0.000 0.000 0.000
8 Mg 0.149 0.149 0.409
9 Mg 0.851 0.851 0.591
10 Cd 0.608 0.608 0.848
11 Cd 0.392 0.392 0.152

- crystal system = monoclinic
- size of the total moment (μB per cell) = 0.0

---

Quick one: least stable of them? w)

---

w) Here is an optimized crystal structure of Li2Mg5Cd from Alexandria via LeMat-Bulk. Energies are from PBE.

Unit cell a=4.316 b=6.278 c=12.610 alpha=90.00 beta=90.00 gamma=90.00
Atoms (fractional coordinates):
1 Li 0.500 0.258 0.624
2 Li 0.500 0.742 0.376
3 Li 0.500 0.242 0.124
4 Li 0.500 0.758 0.876
5 Mg 0.000 0.000 0.000
6 Mg 0.000 0.500 0.500
7 Mg 0.000 0.515 0.755
8 Mg 0.000 0.485 0.245
9 Mg 0.000 0.985 0.255
10 Mg 0.000 0.015 0.745
11 Mg 0.500 0.261 0.879
12 Mg 0.500 0.739 0.121
13 Mg 0.500 0.239 0.379
14 Mg 0.500 0.761 0.621
15 Cd 0.000 0.000 0.500
16 Cd 0.000 0.500 0.000

- crystal system = orthorhombic
- size of the total moment (μB per cell) = 0.0

---

x) Here is an optimized crystal structure of Li2Mg5Cd from Alexandria via LeMat-Bulk. Energies are from PBE.

Unit cell a=4.722 b=14.241 c=10.309 alpha=90.00 beta=90.00 gamma=90.00
Atoms (fractional coordinates):
1 Li 0.250 0.660 0.041
2 Li 0.750 0.340 0.959
3 Li 0.750 0.840 0.541
4 Li 0.250 0.160 0.459
5 Li 0.250 0.068 0.834
6 Li 0.750 0.932 0.166
7 Li 0.750 0.432 0.334
8 Li 0.250 0.568 0.666
9 Mg 0.250 0.771 0.778
10 Mg 0.750 0.229 0.222
11 Mg 0.750 0.729 0.278
12 Mg 0.250 0.271 0.722
13 Mg 0.250 0.389 0.183
14 Mg 0.750 0.611 0.817
15 Mg 0.750 0.111 0.683
16 Mg 0.250 0.889 0.317
17 Mg 0.250 0.728 0.492
18 Mg 0.750 0.272 0.508
19 Mg 0.750 0.772 0.992
20 Mg 0.250 0.228 0.008
21 Mg 0.750 0.591 0.507
22 Mg 0.250 0.409 0.493
23 Mg 0.250 0.909 0.007
24 Mg 0.750 0.091 0.993
25 Mg 0.250 0.960 0.602
26 Mg 0.750 0.040 0.398
27 Mg 0.750 0.540 0.102
28 Mg 0.250 0.460 0.898
29 Cd 0.750 0.928 0.807
30 Cd 0.250 0.072 0.193
31 Cd 0.250 0.572 0.307
32 Cd 0.750 0.428 0.693

- crystal system = orthorhombic
- size of the total moment (μB per cell) = 0.0

---

Quick one: least stable of them? x)

---

w) Here is an optimized crystal structure of LiMg4Cd7 from Alexandria via LeMat-Bulk. Energies are from PBE.

Unit cell a=5.223 b=8.764 c=7.346 alpha=106.11 beta=69.18 gamma=72.66
Atoms (fractional coordinates):
1 Li 0.000 0.000 0.000
2 Mg 0.662 0.145 0.530
3 Mg 0.338 0.855 0.470
4 Mg 0.707 0.617 0.970
5 Mg 0.293 0.383 0.030
6 Cd 0.867 0.696 0.570
7 Cd 0.133 0.304 0.430
8 Cd 0.005 0.784 0.205
9 Cd 0.995 0.216 0.795
10 Cd 0.341 0.587 0.732
11 Cd 0.500 0.000 0.000
12 Cd 0.659 0.413 0.268

- crystal system = monoclinic
- size of the total moment (μB per cell) = 0.0

---

x) Here is an optimized crystal structure of LiMg4Cd7 from Alexandria via LeMat-Bulk. Energies are from PBE.

Unit cell a=4.886 b=4.886 c=12.447 alpha=90.00 beta=90.00 gamma=120.00
Atoms (fractional coordinates):
1 Li 0.000 0.000 0.500
2 Mg 0.333 0.667 0.924
3 Mg 0.667 0.333 0.076
4 Mg 0.333 0.667 0.666
5 Mg 0.667 0.333 0.334
6 Cd 0.000 0.000 0.000
7 Cd 0.333 0.667 0.430
8 Cd 0.667 0.333 0.570
9 Cd 0.333 0.667 0.175
10 Cd 0.667 0.333 0.825
11 Cd 0.000 0.000 0.743
12 Cd 0.000 0.000 0.257

- crystal system = trigonal
- size of the total moment (μB per cell) = 0.0

---

Quick one: least stable of them? w)

---

w) Here is an optimized crystal structure of LiMgCd4 from Alexandria via LeMat-Bulk. Energies are from PBE.

Unit cell a=5.766 b=5.766 c=5.766 alpha=60.00 beta=60.00 gamma=60.00
Atoms (fractional coordinates):
1 Cd 0.625 0.125 0.625
2 Cd 0.125 0.625 0.625
3 Cd 0.625 0.625 0.625
4 Cd 0.625 0.625 0.125
5 Li 0.250 0.250 0.250
6 Mg 0.000 0.000 0.000

- crystal system = cubic
- size of the total moment (μB per cell) = 0.0

---

x) Here is an optimized crystal structure of LiMgCd4 from Alexandria via LeMat-Bulk. Energies are from PBE.

Unit cell a=4.198 b=5.263 c=7.089 alpha=104.07 beta=72.78 gamma=66.49
Atoms (fractional coordinates):
1 Li 0.500 0.500 0.500
2 Mg 0.000 0.000 0.000
3 Cd 0.841 0.493 0.824
4 Cd 0.325 0.014 0.337
5 Cd 0.159 0.507 0.176
6 Cd 0.675 0.986 0.663

- crystal system = monoclinic
- size of the total moment (μB per cell) = 0.0

---

Quick one: least stable of them? w)

---

w) Here is an optimized crystal structure of Li3MgCd6 from Alexandria via LeMat-Bulk. Energies are from PBE.

Unit cell a=7.445 b=7.445 c=7.445 alpha=90.18 beta=90.18 gamma=90.18
Atoms (fractional coordinates):
1 Li 0.270 0.867 0.740
2 Li 0.867 0.740 0.270
3 Li 0.260 0.730 0.133
4 Li 0.740 0.270 0.867
5 Li 0.133 0.260 0.730
6 Li 0.730 0.133 0.260
7 Mg 0.000 0.000 0.000
8 Mg 0.500 0.500 0.500
9 Cd 0.381 0.149 0.047
10 Cd 0.851 0.953 0.619
11 Cd 0.516 0.858 0.369
12 Cd 0.953 0.619 0.851
13 Cd 0.369 0.516 0.858
14 Cd 0.142 0.631 0.484
15 Cd 0.858 0.369 0.516
16 Cd 0.631 0.484 0.142
17 Cd 0.047 0.381 0.149
18 Cd 0.484 0.142 0.631
19 Cd 0.149 0.047 0.381
20 Cd 0.619 0.851 0.953

- crystal system = trigonal
- size of the total moment (μB per cell) = 0.0

---

x) Here is an optimized crystal structure of Li3MgCd6 from Alexandria via LeMat-Bulk. Energies are from PBE.

Unit cell a=4.867 b=8.242 c=10.452 alpha=108.65 beta=90.00 gamma=90.00
Atoms (fractional coordinates):
1 Li 0.250 0.554 0.380
2 Li 0.750 0.446 0.620
3 Li 0.250 0.359 0.786
4 Li 0.750 0.641 0.214
5 Li 0.250 0.761 0.979
6 Li 0.750 0.239 0.021
7 Mg 0.250 0.957 0.583
8 Mg 0.750 0.043 0.417
9 Cd 0.250 0.467 0.081
10 Cd 0.750 0.533 0.919
11 Cd 0.250 0.165 0.186
12 Cd 0.750 0.835 0.814
13 Cd 0.250 0.641 0.677
14 Cd 0.750 0.359 0.323
15 Cd 0.250 0.272 0.496
16 Cd 0.750 0.728 0.504
17 Cd 0.250 0.840 0.276
18 Cd 0.750 0.160 0.724
19 Cd 0.250 0.071 0.887
20 Cd 0.750 0.929 0.113

- crystal system = monoclinic
- size of the total moment (μB per cell) = 0.0

---

Quick one: least stable of them? w)

---

w) Here is an optimized crystal structure of Li6MgCd8 from Alexandria via LeMat-Bulk. Energies are from PBE.

Unit cell a=7.962 b=7.962 c=7.338 alpha=57.15 beta=57.15 gamma=60.00
Atoms (fractional coordinates):
1 Li 0.381 0.104 0.874
2 Li 0.896 0.360 0.126
3 Li 0.360 0.619 0.126
4 Li 0.640 0.381 0.874
5 Li 0.104 0.640 0.874
6 Li 0.619 0.896 0.126
7 Mg 0.000 0.000 0.000
8 Cd 0.588 0.178 0.369
9 Cd 0.822 0.135 0.631
10 Cd 0.135 0.412 0.631
11 Cd 0.746 0.746 0.762
12 Cd 0.254 0.254 0.238
13 Cd 0.865 0.588 0.369
14 Cd 0.178 0.865 0.369
15 Cd 0.412 0.822 0.631

- crystal system = trigonal
- size of the total moment (μB per cell) = 0.0

---

x) Here is an optimized crystal structure of Li6MgCd8 from Alexandria via LeMat-Bulk. Energies are from PBE.

Unit cell a=7.533 b=7.533 c=7.533 alpha=59.57 beta=59.57 gamma=59.57
Atoms (fractional coordinates):
1 Li 0.956 0.473 0.712
2 Li 0.288 0.044 0.527
3 Li 0.527 0.288 0.044
4 Li 0.473 0.712 0.956
5 Li 0.712 0.956 0.473
6 Li 0.044 0.527 0.288
7 Mg 0.000 0.000 0.000
8 Cd 0.132 0.651 0.834
9 Cd 0.166 0.868 0.349
10 Cd 0.349 0.166 0.868
11 Cd 0.594 0.594 0.594
12 Cd 0.406 0.406 0.406
13 Cd 0.651 0.834 0.132
14 Cd 0.834 0.132 0.651
15 Cd 0.868 0.349 0.166

- crystal system = trigonal
- size of the total moment (μB per cell) = 0.0

---

Quick one: least stable of them? w)